The following is a PBE calculation of Li3DyU3Te8 after structural relaxation, from Alexandria via LeMat-Bulk.

Cell: 8.693 8.693 8.693 Å, 59.66 59.66 59.66°
Positions (direct):
Li 0.000 0.500 0.500
Li 0.500 0.000 0.500
Li 0.500 0.500 0.000
Dy 0.500 0.500 0.500
U 0.000 0.000 0.500
U 0.000 0.500 0.000
U 0.500 0.000 0.000
Te 0.248 0.248 0.749
Te 0.248 0.749 0.248
Te 0.251 0.752 0.752
Te 0.254 0.254 0.254
Te 0.746 0.746 0.746
Te 0.749 0.248 0.248
Te 0.752 0.251 0.752
Te 0.752 0.752 0.251

Properties
density of states at the Fermi level: 1.322 states/eV per atom
formation energy without anion corrections: -867.9 meV/atom